No. 1
A relaxed In3FePd12 crystal. Source: the Alexandria database, functional PBE.

a = 4.009 Å, b = 4.009 Å, c = 15.937 Å
α = 90.00°, β = 90.00°, γ = 90.00°
Space group P4/mmm (No. 123)
Asymmetric unit:
In (0.000, 0.000, 0.000) (multiplicity 1)
In (0.000, 0.000, 0.255) (multiplicity 2)
Fe (0.000, 0.000, 0.500) (multiplicity 1)
Pd (0.000, 0.500, 0.128) (multiplicity 4)
Pd (0.000, 0.500, 0.384) (multiplicity 4)
Pd (0.500, 0.500, 0.000) (multiplicity 1)
Pd (0.500, 0.500, 0.257) (multiplicity 2)
Pd (0.500, 0.500, 0.500) (multiplicity 1)

Calculated values
**Magnetization**: 0.269 μB per atom
**VASP energy**: -5.284 eV per atom
**E_form**: -0.35 eV per atom
**Density of states at the Fermi level**: 0.98 states/eV per atom
**Calculated volume**: 16.0 A^3/atom
**Crystal system**: tetragonal

No. 2
A relaxed In2FePd crystal. Source: the Alexandria database, functional PBE.

a = 4.155 Å, b = 4.155 Å, c = 18.747 Å
α = 90.00°, β = 90.00°, γ = 90.00°
Space group I-42d (No. 122)
Asymmetric unit:
In (0.247, 0.250, 0.125) (multiplicity 8)
Fe (0.000, 0.000, 0.000) (multiplicity 4)
Pd (0.000, 0.000, 0.500) (multiplicity 4)

Calculated values
**Magnetization**: 0.715 μB per atom
**VASP energy**: -4.494 eV per atom
**E_form**: 0.29 eV per atom
**Density of states at the Fermi level**: 0.87 states/eV per atom
**Calculated volume**: 20.2 A^3/atom
**Crystal system**: tetragonal

No. 3
A relaxed InFePd2 crystal. Source: the Alexandria database, functional PBE.

a = 4.046 Å, b = 4.046 Å, c = 3.887 Å
α = 90.00°, β = 90.00°, γ = 90.00°
Space group P4/mmm (No. 123)
Asymmetric unit:
In (0.000, 0.000, 0.000) (multiplicity 1)
Fe (0.500, 0.500, 0.000) (multiplicity 1)
Pd (0.000, 0.500, 0.500) (multiplicity 2)

Calculated values
**Magnetization**: 0.745 μB per atom
**VASP energy**: -5.571 eV per atom
**E_form**: -0.17 eV per atom
**Density of states at the Fermi level**: 1.32 states/eV per atom
**Calculated volume**: 15.9 A^3/atom
**Crystal system**: tetragonal